No. 1
This record from Alexandria describes a geometry-optimized NaMoIO2 structure. The functional is PBE with a Hubbard U.

Cell lengths 4.307, 4.307, 5.677 Å; angles 90.00, 90.00, 90.00 degrees
Fractional coordinates of all 5 atoms:
Na (0.000, 0.000, 0.000)
Mo (0.500, 0.500, 0.500)
I (0.000, 0.000, 0.500)
O (0.000, 0.500, 0.000)
O (0.500, 0.000, 0.000)

Values from the calculation:
- ΔE to the lowest computed polymorph: 1.659 eV/atom
- Total DFT energy (no corrections): -3.378 eV per atom
- Total moment: 4.68 μB per formula unit

***

No. 2
This record from Alexandria describes a geometry-optimized NaMoIO6 structure. The functional is PBE with a Hubbard U.

Cell lengths 5.413, 5.413, 10.369 Å; angles 90.00, 90.00, 120.00 degrees
Fractional coordinates of all 18 atoms:
Na (0.000, 0.000, 0.000)
Na (0.000, 0.000, 0.500)
Mo (0.333, 0.667, 0.250)
Mo (0.667, 0.333, 0.750)
I (0.333, 0.667, 0.750)
I (0.667, 0.333, 0.250)
O (0.016, 0.385, 0.144)
O (0.016, 0.631, 0.356)
O (0.369, 0.385, 0.356)
O (0.369, 0.984, 0.144)
O (0.385, 0.016, 0.644)
O (0.385, 0.369, 0.856)
O (0.615, 0.631, 0.144)
O (0.615, 0.984, 0.356)
O (0.631, 0.016, 0.856)
O (0.631, 0.615, 0.644)
O (0.984, 0.369, 0.644)
O (0.984, 0.615, 0.856)

Values from the calculation:
- Total DFT energy (no corrections): -5.475 eV per atom
- Total moment: 0.00 μB per formula unit

***

No. 3
This record from Alexandria describes a geometry-optimized Na2MoIO6 structure. The functional is PBE with a Hubbard U.

Cell lengths 5.608, 5.608, 4.724 Å; angles 90.00, 90.00, 90.00 degrees
Fractional coordinates of all 10 atoms:
Na (0.000, 0.500, 0.000)
Na (0.500, 0.000, 0.000)
Mo (0.000, 0.000, 0.563)
I (0.500, 0.500, 0.639)
O (0.000, 0.000, 0.193)
O (0.242, 0.242, 0.689)
O (0.242, 0.758, 0.689)
O (0.500, 0.500, 0.252)
O (0.758, 0.242, 0.689)
O (0.758, 0.758, 0.689)

Values from the calculation:
- Total DFT energy (no corrections): -5.304 eV per atom
- Total moment: 1.00 μB per formula unit

***

Q: Number 3 is which compound?
A: Na2MoIO6

***

Q: Among the records above, which one has the lowest total moment?
A: NaMoIO6